Record 1
# MgScCr2Te

A geometry-optimized MgScCr2Te structure (PBE, Alexandria).

Structure (extended XYZ):
```
5
Lattice="4.8341 0.0000 0.0000 0.0000 5.2846 0.0000 0.0000 0.0000 4.8341" Properties=species:S:1:pos:R:3 pbc="T T T"
Sc 0.0000 2.6423 0.0000
Cr 0.0000 0.0000 2.4170
Cr 2.4170 0.0000 0.0000
Mg 0.0000 0.0000 0.0000
Te 2.4170 2.6423 2.4170
```

Summary:
space group = P4/mmm (123)
raw formation energy = 0.97 eV per atom



Record 2
# CrRuPb2

A geometry-optimized CrRuPb2 structure (PBE, Alexandria).

Structure (extended XYZ):
```
4
Lattice="8.9215 -0.0097 -0.0057 8.2906 3.2952 -0.0057 8.2906 1.5825 2.8903" Properties=species:S:1:pos:R:3 pbc="T T T"
Cr 19.1270 3.6510 2.1591
Pb 25.3566 4.8402 2.8624
Pb 12.8974 2.4619 1.4559
Ru 6.3757 1.2170 0.7197
```

Summary:
space group = R-3m (166)
energy above the lowest structure with this stoichiometry = 1.27 eV per formula unit
E_form = 2.58 eV/f.u.



Record 3
# NaDyTlCd

A geometry-optimized NaDyTlCd structure (PBE, Alexandria).

Structure (extended XYZ):
```
4
Lattice="-2.3357 -1.9520 4.2962 -0.4036 -5.2107 0.6396 2.8718 -2.4305 3.6835" Properties=species:S:1:pos:R:3 pbc="T T T"
Na 0.0000 0.0000 0.0000
Tl 0.0331 -2.3983 2.1548
Cd 0.0994 -7.1948 6.4644
Dy 0.0663 -4.7966 4.3096
```

Summary:
space group = F-43m (216)
energy above the lowest structure with this stoichiometry = 0.00 eV per formula unit
E_form = -0.79 eV/f.u.



Record 4
# SrAl2InFe

A geometry-optimized SrAl2InFe structure (PBE, Alexandria).

Structure (extended XYZ):
```
5
Lattice="-2.8717 -0.4500 -3.6744 -2.8872 -2.6382 2.5796 -2.4633 4.0886 1.4244" Properties=species:S:1:pos:R:3 pbc="T T T"
Sr -4.1111 0.5002 0.1648
Al -1.4436 -1.3191 1.2898
Al -1.4358 -0.2250 -1.8372
Fe 0.0000 0.0000 0.0000
In -1.2317 2.0443 0.7122
```

Summary:
space group = P4/mmm (123)
energy above the lowest structure with this stoichiometry = 0.00 eV per formula unit
E_form = -0.90 eV/f.u.



Record 5
# CaIn2Ni

A geometry-optimized CaIn2Ni structure (PBE, Alexandria).

Structure (extended XYZ):
```
4
Lattice="4.9510 0.0000 0.0000 2.4755 4.2877 0.0000 2.4755 1.4292 4.0425" Properties=species:S:1:pos:R:3 pbc="T T T"
Ni 7.4265 4.2877 3.0319
Ca 4.9510 2.8585 2.0212
In 0.0000 0.0000 0.0000
In 2.4755 1.4292 1.0106
```

Summary:
space group = F-43m (216)
E_form = -0.26 eV/f.u.



Record 6
# TlZnF3

A geometry-optimized TlZnF3 structure (PBE, Alexandria).

Structure (extended XYZ):
```
20
Lattice="6.0728 0.0000 0.0000 0.0000 10.0424 0.0000 0.0000 0.0000 6.2921" Properties=species:S:1:pos:R:3 pbc="T T T"
Tl 0.0000 0.0000 3.1461
Tl 3.0364 5.0212 0.0000
Tl 3.0364 0.0000 0.0000
Tl 0.0000 5.0212 3.1461
Zn 2.8261 2.5106 3.4485
Zn 0.2103 7.5318 0.3025
Zn 3.2467 7.5318 2.8436
Zn 5.8625 2.5106 5.9897
F 0.6765 9.0328 5.5456
F 2.3599 4.0116 2.3996
F 2.3599 1.0096 2.3996
F 5.3963 4.0116 0.7465
F 5.3963 1.0096 0.7465
F 3.7129 6.0308 3.8926
F 3.7129 9.0328 3.8926
F 0.6765 6.0308 5.5456
F 4.5559 2.5106 4.4002
F 4.5533 7.5318 1.2541
F 1.5169 7.5318 1.8919
F 1.5195 2.5106 5.0380
```

Summary:
space group = Pnma (62)
raw formation energy = -2.02 eV per atom



Number 1: D(E_F) 2.07 states/eV/f.u.. Number 2: D(E_F) 3.30 states/eV/f.u.. Number 3: D(E_F) 2.12 states/eV/f.u.. Number 4: D(E_F) 2.20 states/eV/f.u.. Number 5: D(E_F) 2.33 states/eV/f.u.. Number 6: D(E_F) 0.00 states/eV/f.u..